No. 1
This record from Alexandria describes Al6Tl7 after structural relaxation. The functional is PBE-GGA. Values from VASP.

Structure (Quantum ESPRESSO input):
```
&SYSTEM
  ibrav = 0, nat = 13, ntyp = 2
/
ATOMIC_SPECIES
Tl 204.38 Tl.upf
Al 26.98 Al.upf
CELL_PARAMETERS angstrom
-7.4313 4.6370 5.2777
-9.9289 2.4145 -0.4107
-8.9567 -1.7481 4.6155
ATOMIC_POSITIONS crystal
Tl 0.9278 0.4139 0.4139
Tl 0.4139 0.4139 0.9278
Tl 0.4139 0.9278 0.4139
Tl 0.0722 0.5861 0.5861
Tl 0.5861 0.0722 0.5861
Tl 0.5861 0.5861 0.0722
Tl 0.5000 0.5000 0.5000
Al 0.9525 0.9525 0.9525
Al 0.0475 0.0475 0.0475
Al 0.8537 0.8537 0.8537
Al 0.1463 0.1463 0.1463
Al 0.6650 0.6650 0.6650
Al 0.3350 0.3350 0.3350
```

Summary:
- energy of formation from the pure elements (eV/atom) = 0.437
- total energy (eV per atom) = -2.565
- space group = No. 166

***

No. 2
This record from Alexandria describes CrGa3Tc after structural relaxation. The functional is PBE-GGA. Values from VASP.

Structure (Quantum ESPRESSO input):
```
&SYSTEM
  ibrav = 0, nat = 5, ntyp = 3
/
ATOMIC_SPECIES
Cr 52.00 Cr.upf
Tc 98.00 Tc.upf
Ga 69.72 Ga.upf
CELL_PARAMETERS angstrom
4.7809 0.0000 0.0000
0.0000 4.7809 0.0000
0.0000 0.0000 4.7809
ATOMIC_POSITIONS crystal
Cr 0.5000 0.5000 0.5000
Tc 0.0000 0.0000 0.0000
Ga 0.0000 0.5000 0.0000
Ga 0.0000 0.0000 0.5000
Ga 0.5000 0.0000 0.0000
```

Summary:
- energy above the most stable polymorph in this dataset (eV/f.u.) = 0.00
- energy of formation from the pure elements (eV/atom) = 0.493
- total energy (eV per atom) = -5.321
- space group = No. 221

***

No. 3
This record from Alexandria describes La2ZnPd after structural relaxation. The functional is PBE-GGA. Values from VASP.

Structure (Quantum ESPRESSO input):
```
&SYSTEM
  ibrav = 0, nat = 8, ntyp = 3
/
ATOMIC_SPECIES
Zn 65.41 Zn.upf
Pd 106.42 Pd.upf
La 138.91 La.upf
CELL_PARAMETERS angstrom
8.1184 0.0000 0.0000
0.0000 8.1184 0.0000
4.0592 4.0592 3.3933
ATOMIC_POSITIONS crystal
Zn 0.5000 0.5000 0.0000
Zn 0.2500 0.7500 0.5000
Pd 0.0000 0.0000 0.0000
Pd 0.7500 0.2500 0.5000
La 0.6540 0.1250 0.2500
La 0.0960 0.6250 0.2500
La 0.3750 0.3460 0.7500
La 0.8750 0.9040 0.7500
```

Summary:
- energy of formation from the pure elements (eV/atom) = -0.234
- total energy (eV per atom) = -4.314
- space group = No. 122

***

No. 4
This record from Alexandria describes PaMn2Rh5 after structural relaxation. The functional is PBE-GGA. Values from VASP.

Structure (Quantum ESPRESSO input):
```
&SYSTEM
  ibrav = 0, nat = 8, ntyp = 3
/
ATOMIC_SPECIES
Pa 231.04 Pa.upf
Mn 54.94 Mn.upf
Rh 102.91 Rh.upf
CELL_PARAMETERS angstrom
-2.6644 0.4016 3.1005
-1.4689 -3.7569 -0.7757
6.9755 -1.1892 3.4273
ATOMIC_POSITIONS crystal
Pa 0.0000 0.0000 0.0000
Mn 0.7482 0.7482 0.4964
Mn 0.2518 0.2518 0.5036
Rh 0.5000 0.5000 0.0000
Rh 0.8639 0.3639 0.7277
Rh 0.3639 0.8639 0.7277
Rh 0.1361 0.6361 0.2723
Rh 0.6361 0.1361 0.2723
```

Summary:
- energy of formation from the pure elements (eV/atom) = -0.495
- total energy (eV per atom) = -8.569
- space group = No. 139